(1)
Material: K2TiTlBr8
Method: DFT, GGA-PBE
State: relaxed

Summary:
**Space group**: P-1, No. 2
**E_tot**: -39.53 eV per formula unit
**Crystal system**: triclinic
**ΔE_f (raw)**: -1.141 eV/atom

a = 7.4284 Å, b = 6.3414 Å, c = 9.6700 Å
α = 89.67°, β = 90.16°, γ = 90.21°
Fractional coordinates of all 12 atoms:
K 0.4997 0.4966 0.7837
K 0.5003 0.5034 0.2163
Ti 0.0000 0.0000 0.0000
Tl 0.0000 0.0000 0.5000
Br 0.1123 0.7585 0.1909
Br 0.7010 0.8098 0.9973
Br 0.8834 0.2385 0.1886
Br 0.8877 0.2415 0.8091
Br 0.2990 0.1902 0.0027
Br 0.1166 0.7615 0.8114
Br 0.5144 0.7668 0.5002
Br 0.4856 0.2332 0.4998


(2)
Material: KTiTlBr2
Method: DFT, GGA-PBE
State: relaxed

Summary:
**Space group**: P4/mmm, No. 123
**E_tot**: -13.43 eV per formula unit
**Crystal system**: tetragonal
**ΔE_f (raw)**: 0.255 eV/atom

a = 5.9564 Å, b = 6.1987 Å, c = 5.9564 Å
α = 90.00°, β = 90.00°, γ = 90.00°
Fractional coordinates of all 5 atoms:
Tl 0.5000 0.5000 0.5000
K 0.0000 0.0000 0.0000
Br 0.0000 0.0000 0.5000
Br 0.5000 0.0000 0.0000
Ti 0.0000 0.5000 0.0000


(3)
Material: KTiVBr6
Method: DFT, GGA-PBE
State: relaxed

Summary:
**Space group**: P-31c, No. 163
**E_tot**: -38.81 eV per formula unit
**Crystal system**: trigonal
**ΔE_f (raw)**: -1.184 eV/atom

a = 6.7996 Å, b = 6.7996 Å, c = 14.7759 Å
α = 90.00°, β = 90.00°, γ = 120.00°
Fractional coordinates of all 18 atoms:
K 0.0000 0.0000 0.0000
K 0.0000 0.0000 0.5000
Ti 0.6667 0.3333 0.2500
Ti 0.3333 0.6667 0.7500
V 0.3333 0.6667 0.2500
V 0.6667 0.3333 0.7500
Br 0.6301 0.6296 0.1492
Br 0.9995 0.3699 0.1492
Br 0.3699 0.9995 0.6492
Br 0.0005 0.6301 0.8508
Br 0.3704 0.3699 0.3508
Br 0.9995 0.6296 0.3508
Br 0.6296 0.9995 0.8508
Br 0.6301 0.0005 0.3508
Br 0.0005 0.3704 0.6492
Br 0.3704 0.0005 0.1492
Br 0.6296 0.6301 0.6492
Br 0.3699 0.3704 0.8508


(4)
Material: K2YTiBr
Method: DFT, GGA-PBE
State: relaxed

Summary:
**Space group**: P4/mmm, No. 123
**E_tot**: -16.16 eV per formula unit
**Crystal system**: tetragonal
**ΔE_f (raw)**: 0.414 eV/atom

a = 6.0787 Å, b = 6.0787 Å, c = 5.2383 Å
α = 90.00°, β = 90.00°, γ = 90.00°
Fractional coordinates of all 5 atoms:
Y 0.5000 0.5000 0.5000
K 0.0000 0.5000 0.0000
K 0.5000 0.0000 0.0000
Br 0.0000 0.0000 0.0000
Ti 0.0000 0.0000 0.5000


(5)
Material: K2TlBr5
Method: DFT, GGA-PBE
State: relaxed

Summary:
**Space group**: C2/c, No. 15
**Distance to the lowest polymorph of the same formula**: 0.000 eV per atom
**E_tot**: -21.77 eV per formula unit
**Crystal system**: monoclinic
**ΔE_f (raw)**: -1.105 eV/atom

a = 9.2607 Å, b = 9.2607 Å, c = 10.8995 Å
α = 64.89°, β = 64.89°, γ = 90.02°
Fractional coordinates of all 16 atoms:
K 0.5000 0.0000 0.0000
K 0.5000 0.5000 0.0000
K 0.5000 0.5000 0.5000
K 0.0000 0.5000 0.5000
Tl 0.8745 0.1255 0.2500
Tl 0.1255 0.8745 0.7500
Br 0.6251 0.3749 0.7500
Br 0.3749 0.6251 0.2500
Br 0.2601 0.7823 0.9340
Br 0.7835 0.8066 0.4320
Br 0.7823 0.2601 0.4340
Br 0.1934 0.2165 0.0680
Br 0.8066 0.7835 0.9320
Br 0.2165 0.1934 0.5680
Br 0.2177 0.7399 0.5660
Br 0.7399 0.2177 0.0660


(6)
Material: KTlBr6
Method: DFT, GGA-PBE
State: relaxed

Summary:
**Space group**: R-3m, No. 166
**E_tot**: -17.25 eV per formula unit
**Crystal system**: trigonal
**ΔE_f (raw)**: -0.469 eV/atom

a = 6.5819 Å, b = 6.5819 Å, c = 6.5819 Å
α = 93.70°, β = 93.70°, γ = 93.70°
Fractional coordinates of all 8 atoms:
K 0.0000 0.0000 0.0000
Tl 0.5000 0.5000 0.5000
Br 0.2050 0.6037 0.2050
Br 0.2050 0.2050 0.6037
Br 0.7950 0.3963 0.7950
Br 0.3963 0.7950 0.7950
Br 0.7950 0.7950 0.3963
Br 0.6037 0.2050 0.2050


(7)
Material: KTlBr2
Method: DFT, GGA-PBE
State: relaxed

Summary:
**Space group**: P2/m, No. 10
**Distance to the lowest polymorph of the same formula**: 0.064 eV per atom
**E_tot**: -11.80 eV per formula unit
**Crystal system**: monoclinic
**ΔE_f (raw)**: -1.248 eV/atom

a = 4.0336 Å, b = 4.0332 Å, c = 8.9962 Å
α = 63.66°, β = 90.00°, γ = 90.00°
Fractional coordinates of all 4 atoms:
Tl 0.5000 0.7500 0.7500
K 0.5000 0.2500 0.2500
Br 0.0000 0.9985 0.0035
Br 0.0000 0.5015 0.4965


(8)
Material: KTlBr2
Method: DFT, GGA-PBE
State: relaxed

Summary:
**Space group**: F-43m, No. 216
**Distance to the lowest polymorph of the same formula**: 0.409 eV per atom
**E_tot**: -10.42 eV per formula unit
**Crystal system**: cubic
**ΔE_f (raw)**: -0.903 eV/atom

a = 5.7275 Å, b = 5.7275 Å, c = 5.7275 Å
α = 60.00°, β = 60.00°, γ = 60.00°
Fractional coordinates of all 4 atoms:
Br 0.0000 0.0000 0.0000
Br 0.7500 0.7500 0.7500
K 0.5000 0.5000 0.5000
Tl 0.2500 0.2500 0.2500


(9)
Material: KTlBr
Method: DFT, GGA-PBE
State: relaxed

Summary:
**Space group**: Amm2, No. 38
**Distance to the lowest polymorph of the same formula**: 0.000 eV per atom
**E_tot**: -7.60 eV per formula unit
**Crystal system**: orthorhombic
**ΔE_f (raw)**: -0.821 eV/atom

a = 6.1109 Å, b = 4.3203 Å, c = 13.4128 Å
α = 90.00°, β = 90.00°, γ = 135.01°
Fractional coordinates of all 6 atoms:
Tl 0.2747 0.5493 0.0000
Tl 0.2781 0.5562 0.5000
K 0.7785 0.5571 0.3146
K 0.7785 0.5571 0.6854
Br 0.2784 0.5568 0.2446
Br 0.2784 0.5568 0.7554


(10)
Material: K2TlBr
Method: DFT, GGA-PBE
State: relaxed

Summary:
**Space group**: P4mm, No. 99
**Distance to the lowest polymorph of the same formula**: 0.097 eV per atom
**E_tot**: -9.06 eV per formula unit
**Crystal system**: tetragonal
**ΔE_f (raw)**: -0.706 eV/atom

a = 4.1572 Å, b = 4.1572 Å, c = 10.5877 Å
α = 90.00°, β = 90.00°, γ = 90.03°
Fractional coordinates of all 4 atoms:
Br 0.5000 0.5000 0.9475
K 0.0000 0.0000 0.8260
K 0.5000 0.5000 0.2488
Tl 0.0000 0.0000 0.4777


(11)
Material: KTlBr2
Method: DFT, GGA-PBE
State: relaxed

Summary:
**Space group**: P4/mmm, No. 123
**Distance to the lowest polymorph of the same formula**: 0.000 eV per atom
**E_tot**: -12.06 eV per formula unit
**Crystal system**: tetragonal
**ΔE_f (raw)**: -1.312 eV/atom

a = 4.7558 Å, b = 4.7465 Å, c = 6.7023 Å
α = 90.00°, β = 90.00°, γ = 90.00°
Fractional coordinates of all 4 atoms:
Tl 0.5000 0.5000 0.8750
K 0.0000 0.0000 0.3752
Br 0.0000 0.0000 0.8752
Br 0.5000 0.5000 0.3746


(12)
Material: KTlBr2
Method: DFT, GGA-PBE
State: relaxed

Summary:
**Space group**: C2/m, No. 12
**Distance to the lowest polymorph of the same formula**: 0.006 eV per atom
**E_tot**: -12.03 eV per formula unit
**Crystal system**: monoclinic
**ΔE_f (raw)**: -1.305 eV/atom

a = 4.7559 Å, b = 4.7559 Å, c = 8.2358 Å
α = 73.36°, β = 73.36°, γ = 59.73°
Fractional coordinates of all 4 atoms:
Tl 0.2500 0.2500 0.2500
K 0.7500 0.7500 0.7500
Br 0.0019 0.0019 0.9943
Br 0.4981 0.4981 0.5057


Spin magnetization readings, ordered: 0.20 3.38 8.00 4.18 0.00 0.00 0.00 0.00 0.00 0.00 0.00 0.00 Bohr magnetons per cell